The following is a PBE calculation of crystalline Al2CuRe at its relaxed geometry, from Alexandria.

Summary:
Theoretical density   8.9 g cm⁻³
SG   C2/m, No. 12
Calculated volume   114 Å³/cell
Total magnetic moment   0.0 μB per cell
E_form   -0.058 eV per atom

Lattice parameters (Å, degrees): 8.700 2.692 4.922 90.00 99.71 90.00
Element x y z (fractional)
Al 0.249 0.000 0.248
Al 0.251 0.500 0.752
Al 0.749 0.500 0.248
Al 0.751 0.000 0.752
Cu 0.000 0.500 0.000
Cu 0.500 0.000 0.000
Re 0.000 0.000 0.500
Re 0.500 0.500 0.500

=====

The following is a PBE calculation of crystalline Al2CuRe at its relaxed geometry, from Alexandria.

Summary:
Theoretical density   8.4 g cm⁻³
SG   I-42d, No. 122
Calculated volume   239 Å³/cell
Total magnetic moment   0.0 μB per cell
E_form   0.322 eV per atom

Lattice parameters (Å, degrees): 6.685 6.685 5.344 90.00 90.00 90.00
Element x y z (fractional)
Al 0.222 0.250 0.125
Al 0.250 0.722 0.375
Al 0.250 0.778 0.875
Al 0.278 0.250 0.625
Al 0.722 0.750 0.625
Al 0.750 0.222 0.875
Al 0.750 0.278 0.375
Al 0.778 0.750 0.125
Cu 0.000 0.000 0.000
Cu 0.000 0.500 0.250
Cu 0.500 0.000 0.750
Cu 0.500 0.500 0.500
Re 0.000 0.000 0.500
Re 0.000 0.500 0.750
Re 0.500 0.000 0.250
Re 0.500 0.500 0.000

=====

The following is a PBE calculation of crystalline AlCuRe2 at its relaxed geometry, from Alexandria.

Summary:
Theoretical density   13.6 g cm⁻³
SG   I-4m2, No. 119
Calculated volume   113 Å³/cell
Total magnetic moment   0.0 μB per cell
E_form   -0.015 eV per atom

Lattice parameters (Å, degrees): 4.085 4.085 6.764 90.00 90.00 90.00
Element x y z (fractional)
Al 0.000 0.000 0.000
Al 0.500 0.500 0.500
Cu 0.000 0.500 0.750
Cu 0.500 0.000 0.250
Re 0.000 0.000 0.500
Re 0.000 0.500 0.250
Re 0.500 0.000 0.750
Re 0.500 0.500 0.000

=====

The following is a PBE calculation of crystalline AlCuRe2 at its relaxed geometry, from Alexandria.

Summary:
Theoretical density   13.5 g cm⁻³
SG   P4/mmm, No. 123
Calculated volume   57 Å³/cell
Total magnetic moment   0.0 μB per cell
E_form   0.192 eV per atom

Lattice parameters (Å, degrees): 3.723 3.723 4.109 90.00 90.00 90.00
Element x y z (fractional)
Al 0.000 0.000 0.000
Cu 0.500 0.500 0.000
Re 0.000 0.500 0.500
Re 0.500 0.000 0.500

=====

The following is a PBE calculation of crystalline AlCuRe2 at its relaxed geometry, from Alexandria.

Summary:
Theoretical density   13.3 g cm⁻³
SG   R3m, No. 160
Calculated volume   174 Å³/cell
Total magnetic moment   0.0 μB per cell
E_form   -0.007 eV per atom

Lattice parameters (Å, degrees): 2.784 2.784 25.910 90.00 90.00 120.00
Element x y z (fractional)
Al 0.000 0.000 0.000
Al 0.333 0.667 0.667
Al 0.667 0.333 0.333
Cu 0.000 0.000 0.747
Cu 0.333 0.667 0.414
Cu 0.667 0.333 0.080
Re 0.000 0.000 0.249
Re 0.000 0.000 0.500
Re 0.333 0.667 0.167
Re 0.333 0.667 0.915
Re 0.667 0.333 0.582
Re 0.667 0.333 0.834

=====

The following is a PBE calculation of crystalline AlCuRe2 at its relaxed geometry, from Alexandria.

Summary:
Theoretical density   13.4 g cm⁻³
SG   P2/m, No. 10
Calculated volume   57 Å³/cell
Total magnetic moment   0.0 μB per cell
E_form   0.089 eV per atom

Lattice parameters (Å, degrees): 4.640 2.778 4.663 90.00 107.74 90.00
Element x y z (fractional)
Al 0.000 0.000 0.000
Cu 0.000 0.500 0.500
Re 0.500 0.000 0.500
Re 0.500 0.500 0.000

=====

The following is a PBE calculation of crystalline Al2CuRe at its relaxed geometry, from Alexandria.

Summary:
Theoretical density   8.9 g cm⁻³
SG   Cm, No. 8
Calculated volume   113 Å³/cell
Total magnetic moment   0.0 μB per cell
E_form   -0.165 eV per atom

Lattice parameters (Å, degrees): 9.562 2.831 4.462 90.00 110.84 90.00
Element x y z (fractional)
Al 0.000 0.000 0.000
Al 0.240 0.000 0.614
Al 0.500 0.500 0.000
Al 0.740 0.500 0.614
Cu 0.495 0.000 0.500
Cu 0.995 0.500 0.500
Re 0.247 0.500 0.116
Re 0.747 0.000 0.116

=====

The following is a PBE calculation of crystalline AlCuRe2 at its relaxed geometry, from Alexandria.

Summary:
Theoretical density   12.5 g cm⁻³
SG   I-42d, No. 122
Calculated volume   246 Å³/cell
Total magnetic moment   0.0 μB per cell
E_form   0.777 eV per atom

Lattice parameters (Å, degrees): 6.951 6.951 5.091 90.00 90.00 90.00
Element x y z (fractional)
Al 0.000 0.000 0.000
Al 0.000 0.500 0.250
Al 0.500 0.000 0.750
Al 0.500 0.500 0.500
Cu 0.000 0.000 0.500
Cu 0.000 0.500 0.750
Cu 0.500 0.000 0.250
Cu 0.500 0.500 0.000
Re 0.232 0.250 0.625
Re 0.250 0.732 0.875
Re 0.250 0.768 0.375
Re 0.268 0.250 0.125
Re 0.732 0.750 0.125
Re 0.750 0.232 0.375
Re 0.750 0.268 0.875
Re 0.768 0.750 0.625

=====

What is the formula in the second record?
Al2CuRe